1.
Computed, not measured: a relaxed structure of Ta2PdRu at the GGA-PBE level of DFT.

Unit cell a=2.919 b=2.919 c=7.671 alpha=90.00 beta=90.00 gamma=90.00
Space group P4/mmm (No. 123)
Symmetry-distinct sites (fractional):
Ta1 0.000 0.000 0.234 (multiplicity 2)
Pd1 0.500 0.500 0.500 (multiplicity 1)
Ru1 0.500 0.500 0.000 (multiplicity 1)

Output
Calculated formation energy: -1.15 eV per formula unit
Total magnetic moment: 0.00 μB per formula unit

2.
Computed, not measured: a relaxed structure of Ta2Pd6Ru at the GGA-PBE level of DFT.

Unit cell a=12.109 b=3.878 c=6.306 alpha=90.00 beta=108.65 gamma=90.00
Space group C2/m (No. 12)
Symmetry-distinct sites (fractional):
Ta1 0.057 0.000 0.309 (multiplicity 4)
Pd1 0.105 0.500 0.662 (multiplicity 4)
Pd2 0.165 0.000 0.000 (multiplicity 4)
Pd3 0.220 0.500 0.336 (multiplicity 4)
Ru1 0.000 0.500 0.000 (multiplicity 2)

Output
Calculated formation energy: -3.19 eV per formula unit
Total magnetic moment: 0.00 μB per formula unit

3.
Computed, not measured: a relaxed structure of TaPdRu2 at the GGA-PBE level of DFT.

Unit cell a=3.836 b=3.836 c=18.137 alpha=90.00 beta=90.00 gamma=90.00
Space group I-42d (No. 122)
Symmetry-distinct sites (fractional):
Ta1 0.000 0.000 0.000 (multiplicity 4)
Pd1 0.000 0.000 0.500 (multiplicity 4)
Ru1 0.213 0.250 0.625 (multiplicity 8)

Output
Calculated formation energy: 1.59 eV per formula unit
Energy above the most stable polymorph in this dataset: 2.70 eV per formula unit
Total magnetic moment: 0.00 μB per formula unit

4.
Computed, not measured: a relaxed structure of TaPdRu at the GGA-PBE level of DFT.

Unit cell a=3.226 b=3.226 c=9.302 alpha=90.00 beta=90.00 gamma=90.00
Space group I4mm (No. 107)
Symmetry-distinct sites (fractional):
Ta1 0.000 0.000 0.000 (multiplicity 2)
Pd1 0.000 0.000 0.668 (multiplicity 2)
Ru1 0.000 0.000 0.360 (multiplicity 2)

Output
Calculated formation energy: -0.66 eV per formula unit
Energy above the most stable polymorph in this dataset: 0.10 eV per formula unit
Total magnetic moment: 0.00 μB per formula unit

5.
Computed, not measured: a relaxed structure of Ta3PdRu at the GGA-PBE level of DFT.

Unit cell a=4.751 b=4.751 c=4.751 alpha=90.00 beta=90.00 gamma=90.00
Space group Pm-3m (No. 221)
Symmetry-distinct sites (fractional):
Ta1 0.000 0.000 0.500 (multiplicity 3)
Pd1 0.500 0.500 0.500 (multiplicity 1)
Ru1 0.000 0.000 0.000 (multiplicity 1)

Output
Calculated formation energy: 5.32 eV per formula unit
Energy above the most stable polymorph in this dataset: 0.00 eV per formula unit
Total magnetic moment: 0.00 μB per formula unit

6.
Computed, not measured: a relaxed structure of TaPdRu at the GGA-PBE level of DFT.

Unit cell a=4.4590 b=4.4590 c=2.7553 alpha=90.00 beta=90.00 gamma=120.00
Space group P3m1 (No. 156)
Symmetry-distinct sites (fractional):
Ta1 0.0000 0.0000 0.0000 (multiplicity 1)
Pd1 0.6667 0.3333 0.7498 (multiplicity 1)
Ru1 0.3333 0.6667 0.2988 (multiplicity 1)

Output
Calculated formation energy: -0.43 eV per formula unit
Energy above the most stable polymorph in this dataset: 0.32 eV per formula unit
Total magnetic moment: 0.00 μB per formula unit

7.
Computed, not measured: a relaxed structure of Ta3PdRu at the GGA-PBE level of DFT.

Unit cell a=4.753 b=4.753 c=4.753 alpha=90.00 beta=90.00 gamma=90.00
Space group Pm-3m (No. 221)
Symmetry-distinct sites (fractional):
Ta1 0.000 0.000 0.500 (multiplicity 3)
Pd1 0.000 0.000 0.000 (multiplicity 1)
Ru1 0.500 0.500 0.500 (multiplicity 1)

Output
Calculated formation energy: 8.25 eV per formula unit
Energy above the most stable polymorph in this dataset: 2.93 eV per formula unit
Total magnetic moment: 0.00 μB per formula unit

8.
Computed, not measured: a relaxed structure of TaPdRu2 at the GGA-PBE level of DFT.

Unit cell a=3.947 b=3.947 c=3.853 alpha=90.00 beta=90.00 gamma=90.00
Space group P4/mmm (No. 123)
Symmetry-distinct sites (fractional):
Ta1 0.000 0.000 0.000 (multiplicity 1)
Pd1 0.500 0.500 0.000 (multiplicity 1)
Ru1 0.000 0.500 0.500 (multiplicity 2)

Output
Calculated formation energy: -1.11 eV per formula unit
Energy above the most stable polymorph in this dataset: 0.00 eV per formula unit
Total magnetic moment: 0.00 μB per formula unit

Number 1: V 65.35 Å³ per cell. Number 2: V 280.58 Å³ per cell. Number 3: V 266.91 Å³ per cell. Number 4: V 96.79 Å³ per cell. Number 5: V 107.27 Å³ per cell. Number 6: V 47.44 Å³ per cell. Number 7: V 107.34 Å³ per cell. Number 8: V 60.04 Å³ per cell.